No. 1
CePm2NdSe4: relaxed, PBE.

Calculated values
Electronic total energy in eV/atom: -6.1047
Formation energy (no corrections) in meV per atom: -1837

Unit cell a=7.295 b=4.183 c=7.302 alpha=90.00 beta=109.16 gamma=90.00
Space group P2/m (No. 10)
Symmetry-distinct sites (fractional):
Ce  0.000  0.000  0.000 x1
Pm  0.000  0.500  0.500 x1
Pm  0.500  0.000  0.500 x1
Nd  0.500  0.500  0.000 x1
Se  0.248  0.000  0.748 x2
Se  0.249  0.500  0.251 x2

---

No. 2
Ce3PmNd4Se8: relaxed, PBE.

Calculated values
Electronic total energy in eV/atom: -6.1813
Formation energy (no corrections) in meV per atom: -1838

Unit cell a=8.4299 b=8.4299 c=20.6644 alpha=90.00 beta=90.00 gamma=120.00
Space group R-3m (No. 166, hexagonal axes)
Symmetry-distinct sites (fractional):
Ce  0.0000  0.5000  0.0000 x9
Pm  0.0000  0.0000  0.0000 x3
Nd  0.0000  0.0000  0.5000 x3
Nd  0.0000  0.5000  0.5000 x9
Se  0.0000  0.0000  0.2507 x6
Se  0.9999  0.4999  0.2509 x18

---

No. 3
Ce3Pm2NdSe6: relaxed, PBE.

Calculated values
Electronic total energy in eV/atom: -6.2509
Formation energy (no corrections) in meV per atom: -1836

Unit cell a=7.269 b=12.600 c=7.309 alpha=90.00 beta=109.40 gamma=90.00
Space group C2/m (No. 12)
Symmetry-distinct sites (fractional):
Ce  0.000  0.000  0.000 x2
Ce  0.000  0.334  0.000 x4
Pm  0.000  0.167  0.500 x4
Nd  0.000  0.500  0.500 x2
Se  0.248  0.000  0.749 x4
Se  0.249  0.167  0.250 x8

---

No. 4
Ce3Pm4NdSe8: relaxed, PBE.

Calculated values
Electronic total energy in eV/atom: -6.1770
Formation energy (no corrections) in meV per atom: -1836

Unit cell a=8.3991 b=8.3991 c=20.6279 alpha=90.00 beta=90.00 gamma=120.00
Space group R-3m (No. 166, hexagonal axes)
Symmetry-distinct sites (fractional):
Ce  0.0000  0.5000  0.0000 x9
Pm  0.0000  0.0000  0.5000 x3
Pm  0.0000  0.5000  0.5000 x9
Nd  0.0000  0.0000  0.0000 x3
Se  0.0000  0.0000  0.2497 x6
Se  0.0012  0.5006  0.2496 x18

---

No. 5
Ce4Pm3NdSe8: relaxed, PBE.

Calculated values
Electronic total energy in eV/atom: -6.2500
Formation energy (no corrections) in meV per atom: -1836

Unit cell a=8.3995 b=8.3995 c=20.6553 alpha=90.00 beta=90.00 gamma=120.00
Space group R-3m (No. 166, hexagonal axes)
Symmetry-distinct sites (fractional):
Ce  0.0000  0.0000  0.0000 x3
Ce  0.0000  0.5000  0.0000 x9
Pm  0.0000  0.5000  0.5000 x9
Nd  0.0000  0.0000  0.5000 x3
Se  0.0000  0.0000  0.2497 x6
Se  0.0013  0.5007  0.7500 x18

---

No. 6
Ce3PmNd2Se6: relaxed, PBE.

Calculated values
Electronic total energy in eV/atom: -6.2526
Formation energy (no corrections) in meV per atom: -1836

Unit cell a=7.280 b=12.620 c=7.317 alpha=90.00 beta=109.41 gamma=90.00
Space group C2/m (No. 12)
Symmetry-distinct sites (fractional):
Ce  0.000  0.000  0.000 x2
Ce  0.000  0.333  0.000 x4
Pm  0.000  0.500  0.500 x2
Nd  0.000  0.167  0.500 x4
Se  0.248  0.500  0.248 x4
Se  0.249  0.334  0.751 x8

---

No. 7
CePmNdSm: relaxed, PBE.

Calculated values
Electronic total energy in eV/atom: -4.8399
Formation energy in eV/atom: 0.20

Unit cell a=8.170 b=8.170 c=8.170 alpha=90.00 beta=90.00 gamma=90.00
Space group F-43m (No. 216)
Symmetry-distinct sites (fractional):
Ce  0.000  0.000  0.000 x4
Pm  0.250  0.250  0.250 x4
Nd  0.250  0.250  0.750 x4
Sm  0.000  0.000  0.500 x4

---

No. 8
CePm2Nd6Sm: relaxed, PBE.

Calculated values
Electronic total energy in eV/atom: -4.6465
Formation energy in eV/atom: 0.23

Unit cell a=11.514 b=6.998 c=9.004 alpha=90.00 beta=104.85 gamma=90.00
Space group C2/m (No. 12)
Symmetry-distinct sites (fractional):
Ce  0.000  0.000  0.000 x2
Pm  0.088  0.500  0.164 x4
Nd  0.123  0.000  0.413 x4
Nd  0.177  0.263  0.799 x8
Sm  0.000  0.500  0.500 x2